9
Lattice="-1.7376 -4.3007 0.6224 5.8140 0.3564 1.0986 -4.9715 2.9846 6.7432" Properties=species:S:1:pos:R:3 comment="Li2Pr3Ga4 PBE relaxed" delta_e_f_mev_per_atom=-473.6 e_tot_ev_per_atom=-3.837 m_tot_mub_per_cell=0.000 pbc="T T T"
Li -1.2337 -1.7027 2.3860
Li 0.3385 0.7429 6.0783
Pr -2.4485 -0.7989 5.2398
Pr 0.0000 0.0000 0.0000
Pr 1.5533 -0.1609 3.2245
Ga 1.1073 -2.7799 1.4780
Ga -2.0025 1.8201 6.9863
Ga 0.6036 -1.9433 5.8531
Ga -1.4988 0.9835 2.6112